# LiCaY2Ir | Alexandria | PBE-GGA | relaxed
data_LiCaY2Ir
_symmetry_space_group_name_H-M 'P 4/m m m'
_symmetry_Int_Tables_number 123
_symmetry_space_group_name_Hall '-P 4 2'
_cell_length_a 5.396
_cell_length_b 5.396
_cell_length_c 5.650
_cell_angle_alpha 90.00
_cell_angle_beta 90.00
_cell_angle_gamma 90.00
loop_
_atom_site_label
_atom_site_type_symbol
_atom_site_fract_x
_atom_site_fract_y
_atom_site_fract_z
_atom_site_occupancy
Li1 Li 0.000 0.000 0.000 1
Ca1 Ca 0.500 0.500 0.000 1
Y1 Y 0.000 0.500 0.500 1
Ir1 Ir 0.500 0.500 0.500 1
# Mass density (g/cm³): 4.21
# Calculated volume (Å³ per cell): 164.5
# Total DFT energy (no corrections) (eV per atom): -5.37